Entry 1:
MgReIr2: PBEsol geometry, meta-GGA SCAN.

SG: Pmmm, No. 47
Fermi-level density of states: 0.71 states/eV/atom
total magnetic moment: 0.00 μB/f.u.
ΔE_f: -231 meV per atom

The structure in POSCAR format:
```
MgReIr2
1.0
-1.828 -0.630 1.975
-1.503 -2.650 -2.236
3.547 -3.767 2.080
Ir Mg Re
2 1 1
direct
0.000 0.000 0.741 Ir
0.000 0.000 0.259 Ir
0.500 0.500 0.000 Mg
0.500 0.500 0.500 Re
```



Entry 2:
MgReIr4: PBEsol geometry, meta-GGA SCAN.

SG: F-43m, No. 216
Fermi-level density of states: 0.80 states/eV/atom
total magnetic moment: 0.00 μB/f.u.
ΔE_f: 305 meV per atom

The structure in POSCAR format:
```
MgReIr4
1.0
-3.281 -3.873 -0.410
1.207 -4.570 1.893
-2.396 -1.756 4.136
Ir Mg Re
4 1 1
direct
0.375 0.375 0.375 Ir
0.375 0.375 0.874 Ir
0.874 0.375 0.375 Ir
0.375 0.874 0.375 Ir
0.750 0.750 0.750 Mg
0.000 0.000 0.000 Re
```



Entry 3:
MgReIr2: PBEsol geometry, meta-GGA SCAN.

SG: F-43m, No. 216
Fermi-level density of states: 0.55 states/eV/atom
total magnetic moment: 0.97 μB/f.u.
ΔE_f: 160 meV per atom

The structure in POSCAR format:
```
MgReIr2
1.0
-2.230 -3.440 1.456
1.582 -4.014 -0.560
1.469 -2.256 3.418
Ir Mg Re
2 1 1
direct
0.000 0.000 0.000 Ir
0.750 0.750 0.750 Ir
0.500 0.500 0.500 Mg
0.250 0.250 0.250 Re
```



Entry 4:
Mg2IrRh: PBEsol geometry, meta-GGA SCAN.

SG: Immm, No. 71
Fermi-level density of states: 0.51 states/eV/atom
total magnetic moment: 0.00 μB/f.u.
ΔE_f: -320 meV per atom

The structure in POSCAR format:
```
Mg2IrRh
1.0
3.021 0.000 0.000
0.000 4.671 0.000
-1.511 -2.336 4.239
Ir Mg Rh
1 2 1
direct
0.000 0.500 0.000 Ir
0.753 0.753 0.505 Mg
0.247 0.247 0.495 Mg
0.500 0.000 0.000 Rh
```



What is the formula in the first record? MgReIr2